[1]
Here is crystalline Tb8Dy3Tm4 at its relaxed geometry from the Alexandria database. Energies are from PBE.

## Properties
Formation energy from the elements = 0.383 eV per atom

extended XYZ file:
```
15
Lattice="6.693 -6.005 0.000 6.693 6.005 0.000 -3.058 0.000 6.010" Properties=species:S:1:pos:R:3 pbc="T T T"
Tb 2.191 0.000 1.000
Tb 6.693 3.576 0.000
Tb 5.164 2.974 3.005
Tb 1.280 0.000 4.217
Tb 9.048 0.000 1.792
Tb 5.164 -2.974 3.005
Tb 6.693 -3.576 0.000
Tb 8.137 0.000 5.010
Dy -1.529 0.000 3.005
Dy 3.346 3.003 0.000
Dy 3.346 -3.003 0.000
Tm 1.818 3.003 3.005
Tm 1.818 -3.003 3.005
Tm 6.693 0.000 0.000
Tm 5.164 0.000 3.005
```

=====

[2]
Here is crystalline Ba2MgSnTe5 at its relaxed geometry from the Alexandria database. Energies are from PBE.

## Properties
Formation energy (no corrections) = -1.01 eV/atom

extended XYZ file:
```
18
Lattice="2.255 -10.910 0.000 2.255 10.910 0.000 0.000 0.000 13.648" Properties=species:S:1:pos:R:3 pbc="T T T"
Ba 2.255 8.214 6.824
Ba 2.255 8.121 11.981
Ba 2.255 -8.121 5.157
Ba 2.255 -8.214 0.000
Mg 2.255 5.949 3.084
Mg 2.255 -5.949 9.908
Sn 2.255 1.456 8.758
Sn 2.255 -1.456 1.934
Te 2.255 10.154 3.586
Te 2.255 4.582 11.747
Te 2.255 4.088 7.830
Te 2.255 3.198 2.590
Te 2.255 0.109 6.307
Te 2.255 -0.109 13.131
Te 2.255 -3.198 9.414
Te 2.255 -4.088 1.006
Te 2.255 -4.582 4.923
Te 2.255 -10.154 10.410
```

=====

[3]
Here is crystalline Mg2ScZnW at its relaxed geometry from the Alexandria database. Energies are from PBE.

## Properties
Formation energy from the elements = 0.741 eV per atom

extended XYZ file:
```
5
Lattice="4.653 0.000 0.000 0.000 4.653 0.000 0.000 0.000 4.925" Properties=species:S:1:pos:R:3 pbc="T T T"
Mg 0.000 2.326 0.000
Mg 2.326 0.000 0.000
Sc 0.000 0.000 2.463
Zn 2.326 2.326 0.000
W 2.326 2.326 2.463
```

=====

The electronic total energy results, record by record, are as follows: -4.199, -3.807, -4.008 eV/atom.